No. 1
Compound: Tb4Pm2Nd5
Source: the Alexandria database
Functional: GGA-PBE
Structure: relaxed

Unit cell a=3.5527 b=9.2513 c=23.6394 alpha=90.00 beta=90.00 gamma=90.00
Last column: nearest neighbours and their distance in Å.
Space group Immm (No. 71)
Inequivalent atoms, fractional coordinates:
Tb (0.0000, 0.0000, 0.0965)  1 Pm 3.18, 6 Tb 3.38-3.55, 4 Nd 3.50
Tb (0.0000, 0.3107, 0.5000)  4 Nd 3.38-3.58, 7 Tb 3.38-3.55
Pm (0.0000, 0.0000, 0.2312)  1 Tb 3.18, 2 Nd 3.46, 2 Pm 3.55
Nd (0.0000, 0.1992, 0.3549)  1 Pm 3.46, 3 Tb 3.50-3.58, 3 Nd 3.55-3.69
Nd (0.0000, 0.5000, 0.0000)  4 Tb 3.38, 2 Nd 3.55

Computed properties:
- relative energy among the computed polymorphs (meV/atom) = 116
- formation enthalpy at 0 K (eV per atom) = 0.186



No. 2
Compound: Nd2PdAu
Source: the Alexandria database
Functional: GGA-PBE
Structure: relaxed

Unit cell a=4.2115 b=4.2115 c=21.6790 alpha=90.00 beta=90.00 gamma=120.00
Last column: nearest neighbours and their distance in Å.
Space group R3m (No. 160, hexagonal axes)
Inequivalent atoms, fractional coordinates:
Nd (0.0000, 0.0000, 0.0000)  3 Pd 2.96, 3 Au 3.13
Nd (0.0000, 0.0000, 0.1796)  3 Pd 2.93, 3 Au 3.10
Pd (0.0000, 0.0000, 0.5886)  6 Nd 2.93-2.96
Au (0.0000, 0.0000, 0.4240)  6 Nd 3.10-3.13

Computed properties:
- formation enthalpy at 0 K (eV per atom) = -0.682



No. 3
Compound: PaNi4Pt
Source: the Alexandria database
Functional: GGA-PBE
Structure: relaxed

Unit cell a=6.9332 b=6.9332 c=6.9332 alpha=90.00 beta=90.00 gamma=90.00
Last column: nearest neighbours and their distance in Å.
Space group F-43m (No. 216)
Inequivalent atoms, fractional coordinates:
Pa (0.0000, 0.0000, 0.0000)  12 Ni 2.88, 4 Pt 3.00
Ni (0.1243, 0.1243, 0.6243)  6 Ni 2.44-2.47
Pt (0.2500, 0.2500, 0.2500)  12 Ni 2.87, 4 Pa 3.00

Computed properties:
- formation enthalpy at 0 K (eV per atom) = -0.553



No. 4
Compound: CoOsCl2
Source: the Alexandria database
Functional: GGA-PBE
Structure: relaxed

Unit cell a=4.3692 b=4.3692 c=3.0244 alpha=90.00 beta=90.00 gamma=90.00
Last column: nearest neighbours and their distance in Å.
Space group P4/mmm (No. 123)
Inequivalent atoms, fractional coordinates:
Co (0.0000, 0.0000, 0.0000)  8 Cl 2.66
Os (0.5000, 0.5000, 0.0000)  8 Cl 2.66
Cl (0.0000, 0.5000, 0.5000)  4 Co 2.66, 4 Os 2.66

Computed properties:
- relative energy among the computed polymorphs (meV/atom) = 986
- formation energy (no corrections) (eV per atom) = 1.172



no.,E (eV per atom),M_tot (μB per atom)
1,-4.528,0.000
2,-5.183,0.000
3,-6.997,0.001
4,-4.335,0.589